Material: SrReW2
Method: DFT, PBE
State: optimized geometry

- Polymorph energy (0 for the lowest one): 345.5 meV per atom
- Spin magnetization: 0.00 Bohr magnetons per cell
- ΔH_f (0 K): 1.0936 eV/atom

Cell and atoms, written as CIF:
```
data_SrReW2
_chemical_formula_sum 'Sr2 Re2 W4'
_symmetry_space_group_name_H-M 'I m m 2'
_symmetry_Int_Tables_number 44
_symmetry_space_group_name_Hall 'I 2 -2'
_cell_length_a 3.071
_cell_length_b 5.117
_cell_length_c 9.757
_cell_angle_alpha 90.00
_cell_angle_beta 90.00
_cell_angle_gamma 90.00
loop_
_atom_site_label
_atom_site_type_symbol
_atom_site_fract_x
_atom_site_fract_y
_atom_site_fract_z
_atom_site_occupancy
Sr1 Sr 0.000 0.000 0.000 1
Re1 Re 0.000 0.500 0.227 1
W1 W 0.000 0.000 0.514 1
W2 W 0.000 0.500 0.780 1
```

---

Material: SmMg2CdHg2
Method: DFT, PBE
State: optimized geometry

- Spin magnetization: 0.00 Bohr magnetons per cell
- ΔH_f (0 K): -0.3445 eV/atom

Cell and atoms, written as CIF:
```
data_SmMg2CdHg2
_chemical_formula_sum 'Sm1 Mg2 Cd1 Hg2'
_symmetry_space_group_name_H-M 'P -3 m 1'
_symmetry_Int_Tables_number 164
_symmetry_space_group_name_Hall '-P 3 2"'
_cell_length_a 4.9035
_cell_length_b 4.9035
_cell_length_c 6.7220
_cell_angle_alpha 90.00
_cell_angle_beta 90.00
_cell_angle_gamma 120.00
loop_
_atom_site_label
_atom_site_type_symbol
_atom_site_fract_x
_atom_site_fract_y
_atom_site_fract_z
_atom_site_occupancy
Sm1 Sm 0.0000 0.0000 0.0000 1
Mg1 Mg 0.3333 0.6667 0.6850 1
Cd1 Cd 0.0000 0.0000 0.5000 1
Hg1 Hg 0.3333 0.6667 0.2201 1
```

---

Material: K2NaUO4
Method: DFT, PBE
State: optimized geometry

- Raw formation energy: -2.3571 eV per atom
- Spin magnetization: 1.00 Bohr magnetons per cell

Cell and atoms, written as CIF:
```
data_K2NaUO4
_chemical_formula_sum 'K2 Na1 U1 O4'
_symmetry_space_group_name_H-M 'P 1 2/m 1'
_symmetry_Int_Tables_number 10
_symmetry_space_group_name_Hall '-P 2y'
_cell_length_a 6.013
_cell_length_b 3.577
_cell_length_c 6.498
_cell_angle_alpha 90.00
_cell_angle_beta 107.96
_cell_angle_gamma 90.00
loop_
_atom_site_label
_atom_site_type_symbol
_atom_site_fract_x
_atom_site_fract_y
_atom_site_fract_z
_atom_site_occupancy
K1 K 0.000 0.000 0.000 1
K2 K 0.500 0.500 0.000 1
Na1 Na 0.000 0.500 0.500 1
U1 U 0.500 0.000 0.500 1
O1 O 0.287 0.000 0.688 1
O2 O 0.296 0.500 0.311 1
```

---

Material: YCl
Method: DFT, PBE
State: optimized geometry

- Raw formation energy: -1.2798 eV per atom
- Spin magnetization: 0.00 Bohr magnetons per cell

Cell and atoms, written as CIF:
```
data_YCl
_chemical_formula_sum 'Y2 Cl2'
_symmetry_space_group_name_H-M 'P 63 m c'
_symmetry_Int_Tables_number 186
_symmetry_space_group_name_Hall 'P 6c -2c'
_cell_length_a 3.6098
_cell_length_b 3.6098
_cell_length_c 9.4167
_cell_angle_alpha 90.00
_cell_angle_beta 90.00
_cell_angle_gamma 120.00
loop_
_atom_site_label
_atom_site_type_symbol
_atom_site_fract_x
_atom_site_fract_y
_atom_site_fract_z
_atom_site_occupancy
Y1 Y 0.3333 0.6667 0.0000 1
Cl1 Cl 0.3333 0.6667 0.7107 1
```